No. 1
# Li4SmIr | Alexandria | GGA-PBE | relaxed
data_Li4SmIr
_cell_length_a 7.318
_cell_length_b 7.318
_cell_length_c 7.318
_cell_angle_alpha 90.00
_cell_angle_beta 90.00
_cell_angle_gamma 90.00
_space_group_name_H-M_alt 'F -4 3 m'
_space_group_IT_number 216
_space_group_name_Hall 'F -4 2 3'
loop_
_atom_site_label
_atom_site_type_symbol
_atom_site_fract_x
_atom_site_fract_y
_atom_site_fract_z
Li1 Li 0.121 0.121 0.121
Sm1 Sm 0.000 0.000 0.500
Ir1 Ir 0.250 0.250 0.750
# energy of formation = -0.1 eV per formula unit
# mass density = 6.3 g/cm³
# energy = -3.562 eV per atom

No. 2
# EuY2Al | Alexandria | GGA-PBE | relaxed
data_EuY2Al
_cell_length_a 3.575
_cell_length_b 3.575
_cell_length_c 9.391
_cell_angle_alpha 90.00
_cell_angle_beta 90.00
_cell_angle_gamma 90.00
_space_group_name_H-M_alt 'P 4/m m m'
_space_group_IT_number 123
_space_group_name_Hall '-P 4 2'
loop_
_atom_site_label
_atom_site_type_symbol
_atom_site_fract_x
_atom_site_fract_y
_atom_site_fract_z
Eu1 Eu 0.000 0.000 0.000
Y1 Y 0.500 0.500 0.303
Al1 Al 0.000 0.000 0.500
# energy of formation = -0.7 eV per formula unit
# mass density = 4.9 g/cm³
# energy = -6.899 eV per atom
# ΔE to the lowest computed polymorph = 0 kJ/mol of formula units

Question: The lowest mass density belongs to which entry?
Answer: EuY2Al